Density functional theory data (GGA-PBE) for a relaxed ZnFe2Os crystal.

extended XYZ file:
```
4
Lattice="4.905 0.001 -0.001 2.218 4.375 0.001 -3.121 -2.906 2.425" Properties=species:S:1:pos:R:3 pbc="T T T"
Fe 7.096 4.360 0.000
Fe 3.589 2.205 0.000
Os 2.673 -0.358 1.212
Zn 1.330 1.829 1.213
```

Calculated values
The energy of formation from the pure elements comes out at 0.89 eV/f.u. For the volume, the calculation gives 13.0 Å³/atom. The calculation puts the electronic total energy at -28.543 eV per cell. Its total magnetization is 5.34 μB/f.u. The space group is No. 71. Its crystal system is orthorhombic. For the mass density, the calculation gives 11.721 g cm⁻³.

=====

Density functional theory data (GGA-PBE) for a relaxed TaTl2Sb crystal.

extended XYZ file:
```
4
Lattice="3.163 0.000 0.000 0.000 3.163 0.000 0.000 0.000 9.725" Properties=species:S:1:pos:R:3 pbc="T T T"
Sb 1.582 1.582 2.431
Ta 1.582 1.582 7.294
Tl 0.000 0.000 9.476
Tl 0.000 0.000 5.111
```

Calculated values
For the volume, the calculation gives 24.3 Å³/atom. The calculation puts the electronic total energy at -18.277 eV per cell. Its total magnetization is 0.00 μB/f.u. The space group is No. 123. Its crystal system is tetragonal. The value obtained for the energy above the most stable polymorph in this dataset is 0.349 eV/atom. For the mass density, the calculation gives 12.140 g cm⁻³. The energy relative to the elements, uncorrected comes out at 14.0 kcal/mol of atoms.

=====

Density functional theory data (GGA-PBE) for a relaxed LaCePt2 crystal.

extended XYZ file:
```
4
Lattice="4.122 0.000 0.000 2.061 3.570 0.000 2.061 1.190 7.161" Properties=species:S:1:pos:R:3 pbc="T T T"
La 4.122 2.380 3.637
Ce 6.183 3.570 7.112
Pt 2.061 1.190 5.453
Pt 2.061 1.190 1.700
```

Calculated values
The energy of formation from the pure elements comes out at -4.13 eV/f.u. For the volume, the calculation gives 26.3 Å³/atom. The calculation puts the electronic total energy at -27.068 eV per cell. Its total magnetization is 0.50 μB/f.u. The space group is No. 160. Its crystal system is trigonal. The value obtained for the energy above the most stable polymorph in this dataset is 0.112 eV/atom. For the mass density, the calculation gives 10.547 g cm⁻³.

=====

Density functional theory data (GGA-PBE) for a relaxed K3Ta3B2O12 crystal.

extended XYZ file:
```
20
Lattice="-4.546 2.394 -7.248 -4.337 -2.512 7.336 -0.037 3.742 1.259" Properties=species:S:1:pos:R:3 pbc="T T T"
K -1.855 2.838 -2.298
K -5.314 1.801 0.682
K -1.770 0.857 3.593
Ta -3.424 1.803 -5.459
Ta -2.193 -0.029 0.022
Ta -3.267 -1.892 5.526
B -4.407 -0.876 2.475
B -4.477 0.759 -2.387
O -5.845 0.695 -2.237
O -5.779 -0.849 2.352
O -3.829 -1.270 3.662
O -3.613 -0.510 1.410
O -3.652 0.414 -1.338
O -3.933 1.168 -3.585
O -3.369 3.636 -4.713
O -2.355 1.840 0.653
O -3.215 0.020 6.037
O -0.814 0.429 -1.298
O -7.293 -0.096 0.072
O -0.776 -0.450 1.313
```

Calculated values
For the volume, the calculation gives 13.5 Å³/atom. The calculation puts the electronic total energy at -164.575 eV per cell. Its total magnetization is 0.00 μB/f.u. The space group is No. 189. Its crystal system is hexagonal. For the mass density, the calculation gives 5.374 g cm⁻³. The energy relative to the elements, uncorrected comes out at -61.0 kcal/mol of atoms.

=====

Density functional theory data (GGA-PBE) for a relaxed AlGaPCl crystal.

extended XYZ file:
```
4
Lattice="-1.927 2.509 -4.090 2.342 -1.671 -2.129 -3.230 -5.015 0.384" Properties=species:S:1:pos:R:3 pbc="T T T"
P 0.645 -1.107 -1.430
Al -4.498 -2.463 -3.014
Ga -0.834 0.827 -1.567
Cl -3.092 -0.842 -2.740
```

Calculated values
For the volume, the calculation gives 26.7 Å³/atom. The calculation puts the electronic total energy at -15.702 eV per cell. Its total magnetization is 0.00 μB/f.u. The space group is No. 6. Its crystal system is monoclinic. The value obtained for the energy above the most stable polymorph in this dataset is 0.154 eV/atom. For the mass density, the calculation gives 2.534 g cm⁻³. The energy relative to the elements, uncorrected comes out at -9.7 kcal/mol of atoms.

=====

Density functional theory data (GGA-PBE) for a relaxed Ti12Ga5Au2 crystal.

extended XYZ file:
```
19
Lattice="7.607 0.000 0.000 -3.803 5.660 0.972 0.000 -1.069 7.428" Properties=species:S:1:pos:R:3 pbc="T T T"
Ti 3.803 3.984 1.463
Ti -2.407 3.062 6.131
Ti 2.407 3.062 6.131
Ti -1.488 4.170 3.679
Ti 1.488 4.170 3.679
Ti 0.000 4.008 6.371
Ti 3.803 0.583 2.029
Ti 5.292 0.421 4.722
Ti 2.315 0.421 4.722
Ti 6.210 1.530 2.270
Ti 1.396 1.530 2.270
Ti 0.000 0.607 6.938
Ga 0.000 2.033 4.687
Ga 0.000 3.679 1.330
Ga 0.000 -0.534 3.714
Ga 3.803 0.912 7.071
Ga 3.803 2.558 3.714
Au 5.635 0.000 0.000
Au 1.972 0.000 0.000
```

Calculated values
The energy of formation from the pure elements comes out at -3.88 eV/f.u. For the volume, the calculation gives 17.2 Å³/atom. The calculation puts the electronic total energy at -120.312 eV per cell. Its total magnetization is 0.00 μB/f.u. The space group is No. 12. Its crystal system is monoclinic. For the mass density, the calculation gives 6.673 g cm⁻³.

=====

Density functional theory data (GGA-PBE) for a relaxed LiFeNi2 crystal.

extended XYZ file:
```
4
Lattice="-2.437 3.160 0.022 -2.266 0.795 -3.187 -3.951 -0.529 0.179" Properties=species:S:1:pos:R:3 pbc="T T T"
Fe -4.326 1.713 -1.493
Li -6.490 2.569 -2.239
Ni 0.000 0.000 0.000
Ni -2.163 0.856 -0.746
```

Calculated values
The energy of formation from the pure elements comes out at 0.47 eV/f.u. For the volume, the calculation gives 11.2 Å³/atom. The calculation puts the electronic total energy at -21.467 eV per cell. Its total magnetization is 3.62 μB/f.u. The space group is No. 216. Its crystal system is cubic. For the mass density, the calculation gives 6.661 g cm⁻³.

=====

Density functional theory data (GGA-PBE) for a relaxed Na5Pm3F12 crystal.

extended XYZ file:
```
80
Lattice="-8.695 0.549 -7.915 -4.041 -4.840 9.939 3.951 10.857 2.248" Properties=species:S:1:pos:R:3 pbc="T T T"
Pm -7.543 -0.046 -1.928
Pm -10.145 -1.792 0.810
Pm -3.822 3.362 5.891
Pm -1.197 3.604 0.107
Pm -7.126 2.590 -5.121
Pm -4.799 -0.105 3.806
Pm -3.986 6.671 0.466
Pm -1.660 3.976 9.393
Pm -7.588 2.963 4.166
Pm -4.963 3.205 -1.619
Pm 1.360 8.359 3.462
Pm -1.242 6.612 6.200
Na -1.615 0.968 3.300
Na -2.021 -2.420 4.970
Na 0.000 0.000 0.000
Na -3.777 0.353 -0.202
Na -2.372 5.703 -2.834
Na -6.368 -2.145 1.012
Na -2.636 0.510 7.308
Na -3.569 9.307 -2.727
Na -7.565 1.458 1.119
Na -0.802 7.744 -0.040
Na -7.983 -1.178 4.312
Na -4.393 3.283 2.136
Na -4.348 0.275 -3.957
Na 1.976 5.429 1.124
Na -1.220 5.108 3.153
Na -5.216 -2.741 6.999
Na -0.045 3.009 6.093
Na -6.149 6.056 -3.036
Na -5.008 6.213 4.474
Na -7.171 5.599 0.972
F -6.664 0.328 -4.198
F -3.494 1.984 3.848
F -8.559 1.764 -3.296
F -5.194 0.763 -1.843
F -5.362 4.068 4.103
F -9.898 -0.484 -1.262
F -4.361 0.961 6.009
F -3.886 -2.840 8.755
F -6.260 3.020 6.239
F -8.002 -0.591 0.430
F -7.109 2.160 -0.922
F -10.697 -3.349 2.638
F -1.974 2.614 7.338
F -4.452 -0.906 1.478
F -3.007 -0.502 9.232
F -1.887 5.896 -0.563
F -0.513 1.682 1.528
F -6.215 -2.064 3.335
F -9.850 -1.006 3.150
F -2.588 -1.009 3.205
F -3.858 4.036 8.284
F -6.043 1.736 2.690
F -9.108 2.528 2.277
F -4.446 8.776 -0.774
F -2.742 4.831 1.582
F 0.323 4.038 1.996
F -4.339 -2.210 5.046
F 1.064 7.572 1.122
F -4.927 2.530 -4.012
F -6.197 7.576 1.067
F -2.570 8.631 0.937
F -6.898 0.670 4.836
F -8.272 4.884 2.745
F -5.778 7.068 -4.960
F -6.811 3.953 -3.066
F 1.911 9.915 1.634
F -4.333 7.473 2.794
F -2.525 3.547 -1.967
F -0.783 7.157 3.842
F -1.677 4.406 5.194
F -4.899 9.407 -4.483
F -4.425 5.606 -1.737
F -3.592 5.804 6.115
F 1.113 7.050 5.534
F -3.423 2.498 0.169
F -0.226 4.802 7.568
F -5.291 4.582 0.424
F -2.121 6.238 8.470
```

Calculated values
For the volume, the calculation gives 15.7 Å³/atom. The calculation puts the electronic total energy at -422.863 eV per cell. Its total magnetization is 0.72 μB/f.u. The space group is No. 230. Its crystal system is cubic. For the mass density, the calculation gives 4.116 g cm⁻³. The energy relative to the elements, uncorrected comes out at -72.0 kcal/mol of atoms.